A relaxed structure of In2SiAu2, computed with PBE.

Properties
- formation energy from raw total energies (meV per atom) = 198

a = 8.0469 Å, b = 8.0469 Å, c = 8.0469 Å
α = 152.43°, β = 152.43°, γ = 39.38°
With the nearest neighbours (Å) after each atom.
Fractional coordinates of all 5 atoms:
In  0.0995  0.0995  0.0000  4 Au 2.98, 1 In 3.02, 4 Si 3.10
In  0.9005  0.9005  0.0000  4 Au 2.98, 1 In 3.02, 4 Si 3.10
Si  0.5000  0.5000  0.0000  8 In 3.10
Au  0.2500  0.7500  0.5000  4 Au 2.71, 4 In 2.98
Au  0.7500  0.2500  0.5000  4 Au 2.71, 4 In 2.98